The following is a DFT calculation (meta-GGA SCAN) of ZrMo2Pb at its PBEsol-relaxed geometry.

Unit cell a=2.9485 b=5.3671 c=5.5188 alpha=116.96 beta=101.97 gamma=97.07
With the nearest neighbours (Å) after each atom.
Element x y z (fractional)
Mo  0.5000  0.5000  0.5000  2 Zr 2.85, 2 Pb 2.85, 4 Mo 2.90-2.95
Mo  0.0000  0.0000  0.5000  2 Pb 2.85, 2 Zr 2.85, 4 Mo 2.90-2.95
Pb  0.0000  0.5000  0.0000  4 Mo 2.85, 2 Zr 2.90, 2 Pb 2.95
Zr  0.5000  0.0000  0.0000  4 Mo 2.85, 2 Pb 2.90, 2 Zr 2.95

Computed properties:
density of states at the Fermi level: 2.5 states/eV/f.u.
crystal system: monoclinic

The following is a DFT calculation (meta-GGA SCAN) of MgIn2N2 at its PBEsol-relaxed geometry.

Unit cell a=3.2969 b=3.2969 c=7.9050 alpha=77.96 beta=77.96 gamma=60.00
With the nearest neighbours (Å) after each atom.
Element x y z (fractional)
Mg  0.0000  0.0000  0.0000  6 N 2.30
In  0.4394  0.4394  0.6817  3 N 2.22
In  0.5606  0.5606  0.3183  3 N 2.22
N  0.2769  0.2769  0.1693  3 In 2.22, 3 Mg 2.30
N  0.7231  0.7231  0.8307  3 In 2.22, 3 Mg 2.30

Computed properties:
formation energy without anion corrections: -0.34 eV/atom
crystal system: trigonal

The following is a DFT calculation (meta-GGA SCAN) of Y4MgCo at its PBEsol-relaxed geometry.

Unit cell a=6.1193 b=6.1193 c=6.1193 alpha=60.00 beta=60.00 gamma=60.00
With the nearest neighbours (Å) after each atom.
Element x y z (fractional)
Co  0.7500  0.7500  0.7500  12 Y 3.59, 4 Mg 3.75
Mg  0.0000  0.0000  0.0000  12 Y 3.59, 4 Co 3.75
Y  0.3756  0.3756  0.3756  6 Y 3.04-3.07
Y  0.3756  0.3756  0.8732  6 Y 3.04-3.07
Y  0.8732  0.3756  0.3756  6 Y 3.04-3.07
Y  0.3756  0.8732  0.3756  6 Y 3.04-3.07

Computed properties:
density of states at the Fermi level: 3.2 states/eV/f.u.
crystal system: cubic
distance to the lowest polymorph of the same formula: 0.7926 eV per atom

Number 1: energy -43.708 eV per atom. Number 2: energy -18.404 eV per atom. Number 3: energy -21.589 eV per atom.